1.
The following is a PBE-GGA calculation of Gd2DyTl after structural relaxation, from the Alexandria database.

Cell lengths 3.629, 3.629, 9.245 Å; angles 90.00, 90.00, 90.00 degrees
Each line ends with the local moment (μB).
Sites, in units of the cell vectors:
Tl: 0.500 0.500 0.000  0.00
Gd: 0.000 0.000 0.768  7.14
Gd: 0.000 0.000 0.232  7.14
Dy: 0.500 0.500 0.500  0.03

Relative energy among the computed polymorphs (eV per atom): 0.051
Crystal system: tetragonal
Total energy (eV/atom): -8.949
Energy of formation from the pure elements (eV/atom): -0.167
V (Å³/atom): 30.433


2.
The following is a PBE-GGA calculation of CeHPt after structural relaxation, from the Alexandria database.

Cell lengths 3.638, 4.026, 4.026 Å; angles 120.00, 90.00, 90.00 degrees
Each line ends with the local moment (μB).
Sites, in units of the cell vectors:
H: 0.169 0.667 0.333  0.00
Ce: 0.665 0.333 0.667  0.60
Pt: 0.166 0.000 0.000  -0.02

Relative energy among the computed polymorphs (eV per atom): 0.267
Crystal system: trigonal
Total energy (eV/atom): -5.669
V (Å³/atom): 17.020


3.
The following is a PBE-GGA calculation of Ba2HgOsCl after structural relaxation, from the Alexandria database.

Cell lengths 5.914, 5.231, 5.914 Å; angles 90.00, 90.00, 90.00 degrees
Sites, in units of the cell vectors:
Cl: 0.500 0.500 0.500
Os: 0.000 0.000 0.000
Hg: 0.000 0.500 0.000
Ba: 0.000 0.000 0.500
Ba: 0.500 0.000 0.000

Relative energy among the computed polymorphs (eV per atom): 0.000
Crystal system: tetragonal
Total energy (eV/atom): -3.751
Formation energy (no corrections) (eV/atom): -0.31
V (Å³/atom): 36.592